No. 1
Compound: PmTmMgTl
Source: Alexandria via LeMat-Bulk
Functional: PBE
Structure: relaxed

As for the spin magnetization: 0.00 μB/atom. The energy of formation is -0.229 eV per atom. Its space group is F-43m. For the uncorrected energy, the calculation gives -3.52 eV/atom.

a b c (Å): 5.373 5.373 5.373
angles (deg): 60.00 60.00 60.00
Element x y z (fractional)
Pm  0.000  0.000  0.000
Tm  0.500  0.500  0.500
Mg  0.250  0.250  0.250
Tl  0.750  0.750  0.750

=====

No. 2
Compound: In2FeSi
Source: Alexandria via LeMat-Bulk
Functional: PBE
Structure: relaxed

As for the spin magnetization: 0.00 μB/atom. As for the formation energy (no corrections): 47 kJ/mol of formula units. Its space group is P4mm. For the uncorrected energy, the calculation gives -4.72 eV/atom.

a b c (Å): 2.970 2.970 8.352
angles (deg): 90.00 90.00 90.00
Element x y z (fractional)
In  0.000  0.000  0.000
In  0.500  0.500  0.358
Fe  0.500  0.500  0.767
Si  0.000  0.000  0.640

=====

No. 3
Compound: Tb2HoCu6
Source: Alexandria via LeMat-Bulk
Functional: PBE
Structure: relaxed

As for the spin magnetization: 0.00 μB/atom. The energy of formation is -0.260 eV per atom. Its space group is P6/mmm. For the uncorrected energy, the calculation gives -4.53 eV/atom.

a b c (Å): 7.326 7.326 3.568
angles (deg): 90.00 90.00 120.00
Element x y z (fractional)
Tb  0.333  0.667  0.000
Tb  0.667  0.333  0.000
Ho  0.000  0.000  0.000
Cu  0.000  0.333  0.500
Cu  0.000  0.667  0.500
Cu  0.333  0.000  0.500
Cu  0.333  0.333  0.500
Cu  0.667  0.000  0.500
Cu  0.667  0.667  0.500

=====

No. 4
Compound: Ag2C
Source: Alexandria via LeMat-Bulk
Functional: PBE
Structure: relaxed

As for the spin magnetization: 0.00 μB/atom. The energy of formation is 1.527 eV per atom. Its space group is P-62m. For the uncorrected energy, the calculation gives -3.45 eV/atom.

a b c (Å): 6.222 6.222 3.844
angles (deg): 90.00 90.00 120.00
Element x y z (fractional)
Ag  0.000  0.269  0.000
Ag  0.000  0.603  0.500
Ag  0.269  0.000  0.000
Ag  0.397  0.397  0.500
Ag  0.603  0.000  0.500
Ag  0.731  0.731  0.000
C  0.000  0.000  0.500
C  0.333  0.667  0.000
C  0.667  0.333  0.000